(1)
GaCoCu2 | PBE | relaxed

* space-group type: No. 216
* M_tot: 0.0 μB/f.u.

Lattice parameters (Å, degrees): 4.071 4.071 4.071 60.00 60.00 60.00
Positions (direct):
Co  0.250  0.250  0.250
Cu  0.000  0.000  0.000
Cu  0.750  0.750  0.750
Ga  0.500  0.500  0.500

***

(2)
GaCoCuHg | PBE | relaxed

* space-group type: No. 216
* M_tot: 0.6 μB/f.u.

Lattice parameters (Å, degrees): 4.355 4.355 4.355 60.00 60.00 60.00
Positions (direct):
Co  0.750  0.750  0.750
Cu  0.250  0.250  0.250
Ga  0.000  0.000  0.000
Hg  0.500  0.500  0.500

***

(3)
Ho2Ga4CoCu | PBE | relaxed

* space-group type: No. 38
* M_tot: 0.0 μB/f.u.

Lattice parameters (Å, degrees): 6.698 5.445 5.445 44.51 90.00 90.00
Positions (direct):
Co  0.000  0.791  0.791
Cu  0.500  0.211  0.211
Ga  0.193  0.360  0.360
Ga  0.807  0.360  0.360
Ga  0.301  0.641  0.641
Ga  0.699  0.641  0.641
Ho  0.000  0.072  0.072
Ho  0.500  0.926  0.926

***

(4)
LaGa2CoCu | PBE | relaxed

* space-group type: No. 129
* M_tot: 0.1 μB/f.u.

Lattice parameters (Å, degrees): 4.280 4.280 9.842 90.00 90.00 90.00
Positions (direct):
Co  0.000  0.500  0.374
Co  0.500  0.000  0.626
Cu  0.000  0.000  0.000
Cu  0.500  0.500  0.000
Ga  0.000  0.500  0.131
Ga  0.000  0.000  0.500
Ga  0.500  0.500  0.500
Ga  0.500  0.000  0.869
La  0.500  0.000  0.252
La  0.000  0.500  0.748

***

(5)
LiGa2CoCu4 | PBE | relaxed

* space-group type: No. 123
* M_tot: 0.9 μB/f.u.

Lattice parameters (Å, degrees): 4.051 4.051 5.937 90.00 90.00 90.00
Each line ends with the local moment (μB).
Positions (direct):
Co  0.500  0.500  0.000  0.91
Cu  0.500  0.000  0.251  -0.01
Cu  0.000  0.500  0.251  0.00
Cu  0.500  0.000  0.749  -0.01
Cu  0.000  0.500  0.749  0.00
Ga  0.000  0.000  0.000  0.00
Ga  0.500  0.500  0.500  -0.01
Li  0.000  0.000  0.500  0.01

***

(6)
Li2Mg2Ga2CoCu | PBE | relaxed

* space-group type: No. 115
* M_tot: 0.0 μB/f.u.

Lattice parameters (Å, degrees): 4.297 4.297 6.127 90.00 90.00 90.00
Positions (direct):
Co  0.500  0.500  0.000
Cu  0.000  0.000  0.500
Ga  0.500  0.000  0.233
Ga  0.000  0.500  0.767
Li  0.000  0.000  0.000
Li  0.500  0.500  0.500
Mg  0.000  0.500  0.244
Mg  0.500  0.000  0.756

***

(7)
LuGaCoCu | PBE | relaxed

* space-group type: No. 216
* M_tot: 1.2 μB/f.u.

Lattice parameters (Å, degrees): 4.476 4.476 4.476 60.00 60.00 60.00
Positions (direct):
Co  0.500  0.500  0.500
Cu  0.750  0.750  0.750
Ga  0.000  0.000  0.000
Lu  0.250  0.250  0.250

***

(8)
LuGaCoCu | PBE | relaxed

* space-group type: No. 216
* M_tot: 1.0 μB/f.u.

Lattice parameters (Å, degrees): 4.457 4.457 4.457 60.00 60.00 60.00
Each line ends with the local moment (μB).
Positions (direct):
Co  0.750  0.750  0.750  1.06
Cu  0.500  0.500  0.500  0.02
Ga  0.000  0.000  0.000  -0.01
Lu  0.250  0.250  0.250  -0.02

***

(9)
LuGaCoCu | PBE | relaxed

* space-group type: No. 216
* M_tot: 0.4 μB/f.u.

Lattice parameters (Å, degrees): 4.416 4.416 4.416 60.00 60.00 60.00
Positions (direct):
Co  0.750  0.750  0.750
Cu  0.250  0.250  0.250
Ga  0.000  0.000  0.000
Lu  0.500  0.500  0.500

***

(10)
MgGa2CoCu4 | PBE | relaxed

* space-group type: No. 123
* M_tot: 0.0 μB/f.u.

Lattice parameters (Å, degrees): 4.148 4.148 6.065 90.00 90.00 90.00
Positions (direct):
Co  0.000  0.000  0.500
Cu  0.500  0.000  0.262
Cu  0.000  0.500  0.262
Cu  0.500  0.000  0.738
Cu  0.000  0.500  0.738
Ga  0.000  0.000  0.000
Ga  0.500  0.500  0.500
Mg  0.500  0.500  0.000

***

(11)
GaCoCuPd | PBE | relaxed

* space-group type: No. 216
* M_tot: 1.1 μB/f.u.

Lattice parameters (Å, degrees): 4.207 4.207 4.207 60.00 60.00 60.00
Positions (direct):
Co  0.750  0.750  0.750
Cu  0.250  0.250  0.250
Ga  0.000  0.000  0.000
Pd  0.500  0.500  0.500

***

(12)
ScGaCoCu | PBE | relaxed

* space-group type: No. 216
* M_tot: 0.3 μB/f.u.

Lattice parameters (Å, degrees): 4.301 4.301 4.301 60.00 60.00 60.00
Each line ends with the local moment (μB).
Positions (direct):
Co  0.750  0.750  0.750  0.33
Cu  0.250  0.250  0.250  0.01
Ga  0.000  0.000  0.000  0.01
Sc  0.500  0.500  0.500  -0.02

***

Number 1: VASP energy -4.437 eV per atom. Number 2: VASP energy -3.341 eV per atom. Number 3: VASP energy -4.543 eV per atom. Number 4: VASP energy -4.760 eV per atom. Number 5: VASP energy -3.828 eV per atom. Number 6: VASP energy -3.181 eV per atom. Number 7: VASP energy -4.646 eV per atom. Number 8: VASP energy -4.725 eV per atom. Number 9: VASP energy -4.853 eV per atom. Number 10: VASP energy -3.730 eV per atom. Number 11: VASP energy -4.854 eV per atom. Number 12: VASP energy -5.378 eV per atom.